A geometry-optimized LaPbCl2 structure, computed with GGA-PBEsol.

Properties
Its space group is P4/mmm (123). The calculation puts the calculated total energy at -4.49 eV/atom. As for the uncorrected formation energy: -1145 meV per atom. As for the total magnetization: 0.0 μB per formula unit.

a = 4.504 Å, b = 4.692 Å, c = 4.692 Å
α = 90.00°, β = 90.00°, γ = 90.00°
Element x y z (fractional)
Pb 0.500 0.000 0.000
Cl 0.000 0.000 0.500
Cl 0.000 0.500 0.000
La 0.500 0.500 0.500



A geometry-optimized AlBrN2O structure, computed with GGA-PBEsol.

Properties
Its space group is P4/mmm (123). The calculation puts the calculated total energy at -3.74 eV/atom. As for the uncorrected formation energy: 1908 meV per atom. As for the total magnetization: 0.0 μB per formula unit.

a = 3.543 Å, b = 3.543 Å, c = 5.652 Å
α = 90.00°, β = 90.00°, γ = 90.00°
Element x y z (fractional)
O 0.500 0.500 0.500
Al 0.000 0.000 0.500
Br 0.000 0.000 0.000
N 0.000 0.500 0.000
N 0.500 0.000 0.000



A geometry-optimized KLi2As structure, computed with GGA-PBEsol.

Properties
Its space group is Cm (8). The value obtained for the formation enthalpy at 0 K is -566.7 meV/atom. The calculation puts the calculated total energy at -3.11 eV/atom. As for the total magnetization: 0.0 μB per formula unit.

a = 4.446 Å, b = 4.447 Å, c = 6.356 Å
α = 110.09°, β = 90.00°, γ = 119.99°
Element x y z (fractional)
As 0.569 0.139 0.708
K 0.760 0.521 0.280
Li 0.932 0.864 0.798
Li 0.238 0.476 0.714



A geometry-optimized MnRe2Se structure, computed with GGA-PBEsol.

Properties
Its space group is R3m (160). The calculation puts the calculated total energy at -9.81 eV/atom. As for the uncorrected formation energy: 258 meV per atom. As for the total magnetization: 0.7 μB per formula unit.

a = 2.800 Å, b = 2.800 Å, c = 8.375 Å
α = 80.38°, β = 80.38°, γ = 60.00°
Each line ends with the local moment (μB).
Element x y z (fractional)
Mn 0.246 0.246 0.262  0.77
Re 0.997 0.997 0.009  -0.03
Re 0.749 0.749 0.753  0.02
Se 0.508 0.508 0.476  -0.04



A geometry-optimized LaYAg2 structure, computed with GGA-PBEsol.

Properties
Its space group is Cm (8). The value obtained for the formation enthalpy at 0 K is -163.4 meV/atom. The calculation puts the calculated total energy at -4.86 eV/atom. As for the total magnetization: 0.0 μB per formula unit.

a = 3.497 Å, b = 5.179 Å, c = 5.878 Å
α = 106.41°, β = 107.30°, γ = 90.00°
Element x y z (fractional)
Ag 0.024 0.977 0.049
Ag 0.724 0.266 0.449
La 0.481 0.449 0.963
Y 0.270 0.808 0.540



A geometry-optimized KOsSe2N structure, computed with GGA-PBEsol.

Properties
Its space group is P4/mmm (123). The calculation puts the calculated total energy at -5.90 eV/atom. As for the uncorrected formation energy: 14 meV per atom. As for the total magnetization: 0.0 μB per formula unit.

a = 3.698 Å, b = 5.207 Å, c = 5.207 Å
α = 90.00°, β = 90.00°, γ = 90.00°
Element x y z (fractional)
K 0.500 0.500 0.500
Os 0.000 0.000 0.000
Se 0.000 0.000 0.500
Se 0.000 0.500 0.000
N 0.500 0.000 0.000



A geometry-optimized BaZr3H structure, computed with GGA-PBEsol.

Properties
Its space group is Pm-3m (221). The calculation puts the calculated total energy at -4.13 eV/atom. As for the total magnetization: 1.4 μB per formula unit.

a = 5.263 Å, b = 5.263 Å, c = 5.263 Å
α = 90.00°, β = 90.00°, γ = 90.00°
Each line ends with the local moment (μB).
Element x y z (fractional)
H 0.500 0.500 0.500  0.04
Ba 0.000 0.000 0.000  0.05
Zr 0.000 0.500 0.000  0.24
Zr 0.000 0.000 0.500  0.24
Zr 0.500 0.000 0.000  0.24



A geometry-optimized MgBe2Os2 structure, computed with GGA-PBEsol.

Properties
Its space group is P4/mbm (127). The value obtained for the formation enthalpy at 0 K is -137.3 meV/atom. The calculation puts the calculated total energy at -6.97 eV/atom. As for the total magnetization: 0.0 μB per formula unit.

a = 3.150 Å, b = 5.989 Å, c = 5.989 Å
α = 90.00°, β = 90.00°, γ = 90.00°
Element x y z (fractional)
Be 0.000 0.380 0.880
Be 0.000 0.880 0.620
Be 0.000 0.620 0.120
Be 0.000 0.120 0.380
Mg 0.000 0.000 0.000
Mg 0.000 0.500 0.500
Os 0.500 0.172 0.672
Os 0.500 0.672 0.828
Os 0.500 0.828 0.328
Os 0.500 0.328 0.172